# 1
Computed, not measured: crystalline CeScSi at its relaxed geometry at the GGA-PBE level of DFT.

The space group is P-3m1 (No. 164) and the conventional cell measures 4.4871, 4.4871 and 7.2444 Å, with angles of 90.00, 90.00 and 120.00 degrees. The distinct sites, in fractional coordinates, are Ce at (0.3333, 0.6667, 0.0941), Sc at (0.3333, 0.6667, 0.5979) and Si at (0.0000, 0.0000, 0.3122).

Its total moment is 0.090 μB/atom. The calculation puts the calculated volume at 21.05 Å³ per atom. The value obtained for the formation energy without anion corrections is -1.2 eV/f.u. For the raw total energy, the calculation gives -0.464 Ry per atom. The density is 5.6 Mg/m³.

---

# 2
Computed, not measured: crystalline SrPm2Zn at its relaxed geometry at the GGA-PBE level of DFT.

The space group is R-3m (No. 166, hexagonal axes) and the conventional cell measures 3.7545, 3.7545 and 34.9401 Å, with angles of 90.00, 90.00 and 120.00 degrees. The distinct sites, in fractional coordinates, are Sr at (0.0000, 0.0000, 0.0000), Pm at (0.0000, 0.0000, 0.1057) and Zn at (0.0000, 0.0000, 0.5000).

The formation energy comes out at 0.146 eV per atom. Its total moment is 0.000 μB/atom. The calculation puts the calculated volume at 35.54 Å³ per atom. For the raw total energy, the calculation gives -0.218 Ry per atom. The density is 5.2 Mg/m³.